Entry 1:
Crystalline CuBiN2O at its relaxed geometry, computed with PBE.

Lattice parameters (Å, degrees): 4.3562 4.3562 4.2005 90.00 90.00 90.00
Last column: nearest neighbours and their distance in Å.
Element x y z (fractional)
Cu: 0.0000 0.0000 0.0000  8 N 3.03, 4 O 3.08
Bi: 0.5000 0.5000 0.5000  2 O 2.10, 4 N 2.18
N: 0.0000 0.5000 0.5000  2 Bi 2.18
N: 0.5000 0.0000 0.5000  2 Bi 2.18
O: 0.5000 0.5000 0.0000  2 Bi 2.10

## Properties
- total magnetic moment (μB per cell) = 2.259
- VASP energy (eV per atom) = -4.401
- uncorrected formation energy (meV per atom) = 1516
- space-group type = P4/mmm, No. 123

=====

Entry 2:
Crystalline CuBiN2O at its relaxed geometry, computed with PBE.

Lattice parameters (Å, degrees): 3.8339 3.8339 3.9760 90.00 90.00 90.00
Last column: nearest neighbours and their distance in Å.
Element x y z (fractional)
Cu: 0.0000 0.0000 0.0000  4 N 1.92, 2 O 1.99
Bi: 0.5000 0.5000 0.5000  4 O 2.71, 8 N 2.76
N: 0.0000 0.5000 0.0000  2 Cu 1.92
N: 0.5000 0.0000 0.0000  2 Cu 1.92
O: 0.0000 0.0000 0.5000  2 Cu 1.99

## Properties
- total magnetic moment (μB per cell) = 0.003
- VASP energy (eV per atom) = -5.016
- uncorrected formation energy (meV per atom) = 901
- space-group type = P4/mmm, No. 123

=====

Entry 3:
Crystalline CuBiNO2 at its relaxed geometry, computed with PBE.

Lattice parameters (Å, degrees): 4.1953 4.1953 4.3532 90.00 90.00 90.00
Last column: nearest neighbours and their distance in Å.
Element x y z (fractional)
Cu: 0.0000 0.0000 0.0000  4 N 2.97, 8 O 3.02
Bi: 0.5000 0.5000 0.5000  4 O 2.10, 2 N 2.18
N: 0.5000 0.5000 0.0000  2 Bi 2.18
O: 0.0000 0.5000 0.5000  2 Bi 2.10
O: 0.5000 0.0000 0.5000  2 Bi 2.10

## Properties
- total magnetic moment (μB per cell) = 1.251
- VASP energy (eV per atom) = -4.546
- uncorrected formation energy (meV per atom) = 698
- space-group type = P4/mmm, No. 123

=====

Entry 4:
Crystalline CuBiRhN2 at its relaxed geometry, computed with PBE.

Lattice parameters (Å, degrees): 3.8568 3.8568 4.9958 90.00 90.00 90.00
Last column: nearest neighbours and their distance in Å.
Element x y z (fractional)
Cu: 0.0000 0.0000 0.0000  4 N 1.93
Bi: 0.5000 0.5000 0.5000  4 Rh 2.73
Rh: 0.0000 0.0000 0.5000  2 Cu 2.50, 4 Bi 2.73
N: 0.0000 0.5000 0.0000  2 Cu 1.93
N: 0.5000 0.0000 0.0000  2 Cu 1.93

## Properties
- total magnetic moment (μB per cell) = 2.082
- VASP energy (eV per atom) = -5.016
- uncorrected formation energy (meV per atom) = 1379
- space-group type = P4/mmm, No. 123

=====

Entry 5:
Crystalline CuBiSN2 at its relaxed geometry, computed with PBE.

Lattice parameters (Å, degrees): 4.2770 4.2770 5.4876 90.00 90.00 90.00
Last column: nearest neighbours and their distance in Å.
Element x y z (fractional)
Cu: 0.0000 0.0000 0.0000  4 S 3.02
Bi: 0.5000 0.5000 0.5000  4 N 2.14
S: 0.5000 0.5000 0.0000  2 Bi 2.74, 4 Cu 3.02
N: 0.0000 0.5000 0.5000  2 Bi 2.14
N: 0.5000 0.0000 0.5000  2 Bi 2.14

## Properties
- E above lowest polymorph (meV/atom) = 529.2
- total magnetic moment (μB per cell) = 2.425
- VASP energy (eV per atom) = -3.962
- uncorrected formation energy (meV per atom) = 1789
- space-group type = P4/mmm, No. 123

=====

Entry 6:
Crystalline CuBiSN2 at its relaxed geometry, computed with PBE.

Lattice parameters (Å, degrees): 3.9951 3.9951 4.6936 90.00 90.00 90.00
Last column: nearest neighbours and their distance in Å.
Element x y z (fractional)
Cu: 0.0000 0.0000 0.0000  4 N 2.00
Bi: 0.5000 0.5000 0.5000  4 S 2.82, 8 N 3.08
S: 0.0000 0.0000 0.5000  2 Cu 2.35
N: 0.0000 0.5000 0.0000  2 Cu 2.00
N: 0.5000 0.0000 0.0000  2 Cu 2.00

## Properties
- E above lowest polymorph (meV/atom) = 0.0
- total magnetic moment (μB per cell) = 2.458
- VASP energy (eV per atom) = -4.491
- uncorrected formation energy (meV per atom) = 1260
- space-group type = P4/mmm, No. 123

=====

Entry 7:
Crystalline CuBiSeN2 at its relaxed geometry, computed with PBE.

Lattice parameters (Å, degrees): 4.2593 4.2593 5.9199 90.00 90.00 90.00
Last column: nearest neighbours and their distance in Å.
Element x y z (fractional)
Cu: 0.0000 0.0000 0.0000  4 Se 3.01
Bi: 0.5000 0.5000 0.5000  4 N 2.13
Se: 0.5000 0.5000 0.0000  2 Bi 2.96, 4 Cu 3.01
N: 0.0000 0.5000 0.5000  2 Bi 2.13
N: 0.5000 0.0000 0.5000  2 Bi 2.13

## Properties
- E above lowest polymorph (meV/atom) = 393.0
- total magnetic moment (μB per cell) = 2.293
- VASP energy (eV per atom) = -3.901
- uncorrected formation energy (meV per atom) = 1721
- space-group type = P4/mmm, No. 123

=====

Entry 8:
Crystalline CuBiSeN2 at its relaxed geometry, computed with PBE.

Lattice parameters (Å, degrees): 4.0764 4.0764 4.9181 90.00 90.00 90.00
Last column: nearest neighbours and their distance in Å.
Element x y z (fractional)
Cu: 0.0000 0.0000 0.0000  4 N 2.04
Bi: 0.5000 0.5000 0.5000  4 Se 2.88, 8 N 3.19
Se: 0.0000 0.0000 0.5000  2 Cu 2.46
N: 0.0000 0.5000 0.0000  2 Cu 2.04
N: 0.5000 0.0000 0.0000  2 Cu 2.04

## Properties
- E above lowest polymorph (meV/atom) = 0.0
- total magnetic moment (μB per cell) = 2.582
- VASP energy (eV per atom) = -4.294
- uncorrected formation energy (meV per atom) = 1328
- space-group type = P4/mmm, No. 123

=====

Entry 9:
Crystalline Cu2SnBiN at its relaxed geometry, computed with PBE.

Lattice parameters (Å, degrees): 4.1838 4.1838 5.1553 90.00 90.00 90.00
Last column: nearest neighbours and their distance in Å.
Element x y z (fractional)
Cu: 0.0000 0.5000 0.0000  2 N 2.09
Cu: 0.5000 0.0000 0.0000  2 N 2.09
Sn: 0.0000 0.0000 0.5000  4 Bi 2.96
Bi: 0.5000 0.5000 0.5000  2 N 2.58
N: 0.5000 0.5000 0.0000  4 Cu 2.09

## Properties
- total magnetic moment (μB per cell) = 0.000
- VASP energy (eV per atom) = -4.313
- uncorrected formation energy (meV per atom) = 567
- space-group type = P4/mmm, No. 123

=====

Entry 10:
Crystalline NaCuBi3 at its relaxed geometry, computed with PBE.

Lattice parameters (Å, degrees): 5.4643 5.4643 5.4643 90.00 90.00 90.00
Last column: nearest neighbours and their distance in Å.
Element x y z (fractional)
Na: 0.0000 0.0000 0.0000  6 Bi 2.73
Cu: 0.5000 0.5000 0.5000  12 Bi 3.86
Bi: 0.0000 0.0000 0.5000  2 Na 2.73
Bi: 0.0000 0.5000 0.0000  2 Na 2.73
Bi: 0.5000 0.0000 0.0000  2 Na 2.73

## Properties
- E above lowest polymorph (meV/atom) = 759.7
- energy relative to the elements (kJ/mol of atoms) = 89.20
- total magnetic moment (μB per cell) = 0.000
- VASP energy (eV per atom) = -2.487
- space-group type = Pm-3m, No. 221

=====

Entry 11:
Crystalline Na2Cu2Bi at its relaxed geometry, computed with PBE.

Lattice parameters (Å, degrees): 7.1604 7.1604 7.1604 146.73 146.73 47.76
Last column: nearest neighbours and their distance in Å.
Element x y z (fractional)
Na: 0.2500 0.7500 0.5000  4 Na 2.90, 4 Cu 2.94
Na: 0.7500 0.2500 0.5000  4 Na 2.90, 4 Cu 2.94
Cu: 0.0891 0.0891 0.0000  1 Cu 2.33
Cu: 0.9109 0.9109 0.0000  1 Cu 2.33
Bi: 0.5000 0.5000 0.0000  8 Cu 3.12

## Properties
- E above lowest polymorph (meV/atom) = 255.8
- energy relative to the elements (kJ/mol of atoms) = 31.60
- total magnetic moment (μB per cell) = 0.000
- VASP energy (eV per atom) = -2.615
- space-group type = I4/mmm, No. 139

=====

Entry 12:
Crystalline Na3CuBi at its relaxed geometry, computed with PBE.

Lattice parameters (Å, degrees): 5.3191 5.3191 5.3191 90.00 90.00 90.00
Last column: nearest neighbours and their distance in Å.
Element x y z (fractional)
Na: 0.0000 0.0000 0.5000  2 Cu 2.66
Na: 0.0000 0.5000 0.0000  2 Cu 2.66
Na: 0.5000 0.0000 0.0000  2 Cu 2.66
Cu: 0.0000 0.0000 0.0000  6 Na 2.66
Bi: 0.5000 0.5000 0.5000  12 Na 3.76

## Properties
- E above lowest polymorph (meV/atom) = 0.0
- energy relative to the elements (kJ/mol of atoms) = 19.96
- total magnetic moment (μB per cell) = 0.000
- VASP energy (eV per atom) = -2.180
- space-group type = Pm-3m, No. 221